No. 1
# LaEr2Th6

A relaxed LaEr2Th6 crystal (GGA-PBE, Alexandria).

Calculated values
SG: No. 12
Crystal system: monoclinic
Electronic total energy (eV for the cell shown): -55.80

CIF file:
```
data_LaEr2Th6
_chemical_formula_sum 'La1 Er2 Th6'
_space_group_name_H-M_alt 'P 1'
_space_group_IT_number 1
_cell_length_a 9.1925
_cell_length_b 7.0867
_cell_length_c 8.2028
_cell_angle_alpha 115.59
_cell_angle_beta 46.02
_cell_angle_gamma 90.00
loop_
_space_group_symop_operation_xyz
'x,y,z'
loop_
_atom_site_label
_atom_site_type_symbol
_atom_site_fract_x
_atom_site_fract_y
_atom_site_fract_z
_atom_site_occupancy
La1 La 0.0000 0.0000 0.0000 1
Er1 Er 0.2844 0.2935 0.5870 1
Er2 Er 0.7156 0.7065 0.4130 1
Th1 Th 0.7941 0.1654 0.8544 1
Th2 Th 0.6408 0.3265 0.6530 1
Th3 Th 0.7941 0.6890 0.8544 1
Th4 Th 0.2059 0.8346 0.1456 1
Th5 Th 0.3592 0.6735 0.3470 1
Th6 Th 0.2059 0.3110 0.1456 1
```


No. 2
# LaEr4Th2

A relaxed LaEr4Th2 crystal (GGA-PBE, Alexandria).

Calculated values
SG: No. 2
Crystal system: triclinic
Electronic total energy (eV for the cell shown): -37.10

CIF file:
```
data_LaEr4Th2
_chemical_formula_sum 'La1 Er4 Th2'
_space_group_name_H-M_alt 'P 1'
_space_group_IT_number 1
_cell_length_a 3.4729
_cell_length_b 8.6481
_cell_length_c 8.7083
_cell_angle_alpha 116.56
_cell_angle_beta 89.90
_cell_angle_gamma 101.59
loop_
_space_group_symop_operation_xyz
'x,y,z'
loop_
_atom_site_label
_atom_site_type_symbol
_atom_site_fract_x
_atom_site_fract_y
_atom_site_fract_z
_atom_site_occupancy
Er1 Er 0.3588 0.7152 0.5869 1
Er2 Er 0.0782 0.1645 0.6991 1
Er3 Er 0.6412 0.2848 0.4131 1
Er4 Er 0.9218 0.8355 0.3009 1
Th1 Th 0.2211 0.4367 0.1373 1
Th2 Th 0.7789 0.5633 0.8627 1
La1 La 0.0000 0.0000 0.0000 1
```


No. 3
# La2Er6Th

A relaxed La2Er6Th crystal (GGA-PBE, Alexandria).

Calculated values
SG: No. 71
Crystal system: orthorhombic
Electronic total energy (eV for the cell shown): -42.86

CIF file:
```
data_La2Er6Th
_chemical_formula_sum 'La2 Er6 Th1'
_space_group_name_H-M_alt 'P 1'
_space_group_IT_number 1
_cell_length_a 10.2412
_cell_length_b 10.2412
_cell_length_c 10.2412
_cell_angle_alpha 161.02
_cell_angle_beta 121.68
_cell_angle_gamma 61.91
loop_
_space_group_symop_operation_xyz
'x,y,z'
loop_
_atom_site_label
_atom_site_type_symbol
_atom_site_fract_x
_atom_site_fract_y
_atom_site_fract_z
_atom_site_occupancy
La1 La 0.3372 0.3372 0.0000 1
La2 La 0.6628 0.6628 0.0000 1
Er1 Er 0.0169 0.8336 0.1832 1
Er2 Er 0.3496 0.1664 0.1832 1
Er3 Er 0.9831 0.1664 0.8168 1
Er4 Er 0.3024 0.5000 0.8024 1
Er5 Er 0.6504 0.8336 0.8168 1
Er6 Er 0.6976 0.5000 0.1976 1
Th1 Th 0.0000 0.0000 0.0000 1
```


No. 4
# La2ErTh

A relaxed La2ErTh crystal (GGA-PBE, Alexandria).

Calculated values
SG: No. 160
Crystal system: trigonal
Electronic total energy (eV for the cell shown): -21.69

CIF file:
```
data_La2ErTh
_chemical_formula_sum 'La2 Er1 Th1'
_space_group_name_H-M_alt 'P 1'
_space_group_IT_number 1
_cell_length_a 3.6395
_cell_length_b 3.6395
_cell_length_c 12.0065
_cell_angle_alpha 81.28
_cell_angle_beta 81.28
_cell_angle_gamma 60.00
loop_
_space_group_symop_operation_xyz
'x,y,z'
loop_
_atom_site_label
_atom_site_type_symbol
_atom_site_fract_x
_atom_site_fract_y
_atom_site_fract_z
_atom_site_occupancy
La1 La 0.0822 0.0822 0.7533 1
La2 La 0.2508 0.2508 0.2476 1
Er1 Er 0.4999 0.4999 0.5004 1
Th1 Th 0.6671 0.6671 0.9987 1
```


Repeat the third record exactly.
# La2Er6Th

A relaxed La2Er6Th crystal (GGA-PBE, Alexandria).

Calculated values
SG: No. 71
Crystal system: orthorhombic
Electronic total energy (eV for the cell shown): -42.86

CIF file:
```
data_La2Er6Th
_chemical_formula_sum 'La2 Er6 Th1'
_space_group_name_H-M_alt 'P 1'
_space_group_IT_number 1
_cell_length_a 10.2412
_cell_length_b 10.2412
_cell_length_c 10.2412
_cell_angle_alpha 161.02
_cell_angle_beta 121.68
_cell_angle_gamma 61.91
loop_
_space_group_symop_operation_xyz
'x,y,z'
loop_
_atom_site_label
_atom_site_type_symbol
_atom_site_fract_x
_atom_site_fract_y
_atom_site_fract_z
_atom_site_occupancy
La1 La 0.3372 0.3372 0.0000 1
La2 La 0.6628 0.6628 0.0000 1
Er1 Er 0.0169 0.8336 0.1832 1
Er2 Er 0.3496 0.1664 0.1832 1
Er3 Er 0.9831 0.1664 0.8168 1
Er4 Er 0.3024 0.5000 0.8024 1
Er5 Er 0.6504 0.8336 0.8168 1
Er6 Er 0.6976 0.5000 0.1976 1
Th1 Th 0.0000 0.0000 0.0000 1
```